A relaxed Ac2AuO6 crystal. Source: the Alexandria database, functional PBE.

Values from the calculation:
D(E_F), states/eV/atom: 0.9947
ρ, Mg/m³: 8.544
E_form (uncorrected), meV/atom: -1812
Volume, Å³/atom: 16.1
Electronic total energy, eV per formula unit: -57.55

a = 5.568 Å, b = 6.569 Å, c = 9.367 Å
α = 90.00°, β = 122.08°, γ = 90.00°
Element x y z (fractional)
Ac 0.219 0.094 0.256
Ac 0.219 0.406 0.756
Ac 0.781 0.594 0.244
Ac 0.781 0.906 0.744
Au 0.500 0.000 0.000
Au 0.500 0.500 0.500
O 0.150 0.153 0.955
O 0.150 0.347 0.455
O 0.301 0.725 0.945
O 0.301 0.775 0.445
O 0.358 0.041 0.754
O 0.358 0.459 0.254
O 0.642 0.541 0.746
O 0.642 0.959 0.246
O 0.699 0.225 0.555
O 0.699 0.275 0.055
O 0.850 0.653 0.545
O 0.850 0.847 0.045